# Hf2ThNp | the Alexandria database | GGA-PBE | relaxed
data_Hf2ThNp
_chemical_formula_sum 'Hf2 Th1 Np1'
_cell_length_a 3.2507
_cell_length_b 3.2507
_cell_length_c 9.5014
_cell_angle_alpha 90.00
_cell_angle_beta 90.00
_cell_angle_gamma 90.00
_space_group_name_H-M_alt 'P 1'
_space_group_IT_number 1
loop_
_space_group_symop_operation_xyz
'x,y,z'
loop_
_atom_site_label
_atom_site_fract_x
_atom_site_fract_y
_atom_site_fract_z
_atom_site_occupancy
Hf1 0.0000 0.0000 0.2322 1
Hf2 0.0000 0.0000 0.7678 1
Th1 0.5000 0.5000 0.5000 1
Np1 0.5000 0.5000 0.0000 1
# spin magnetization = 3.77 μB/f.u.
# DOS at the Fermi energy = 2.3120 states/eV/atom
# formation energy from the elements = 0.32 eV/atom
# space group = P4/mmm (123)